Compound: Ta2CoWF
Source: Alexandria
Functional: GGA+U
Structure: relaxed

Results
The calculation puts the density at 10652 kg/m3. For the raw total energy, the calculation gives -6.322 eV per atom. For the total magnetization, the calculation gives 0.180 μB/atom.

Geometry as CIF:
```
data_Ta2CoWF
_chemical_formula_sum 'Ta2 Co1 W1 F1'
_symmetry_space_group_name_H-M 'P 4/m m m'
_symmetry_Int_Tables_number 123
_symmetry_space_group_name_Hall '-P 4 2'
_cell_length_a 4.5654
_cell_length_b 4.5654
_cell_length_c 4.6648
_cell_angle_alpha 90.00
_cell_angle_beta 90.00
_cell_angle_gamma 90.00
loop_
_atom_site_label
_atom_site_type_symbol
_atom_site_fract_x
_atom_site_fract_y
_atom_site_fract_z
Ta1 Ta 0.0000 0.5000 0.0000
Co1 Co 0.0000 0.0000 0.0000
W1 W 0.0000 0.0000 0.5000
F1 F 0.5000 0.5000 0.5000
```